one.
VASP calculation (GGA-PBE) on a relaxed structure of PaBIr.

Values from the calculation:
Calculated volume ... 19.5 Å³/atom

Cell: 6.1621 6.1621 6.1621 Å, 90.00 90.00 90.00°
Last column: nearest neighbours and their distance in Å.
Space group F-43m (No. 216)
Inequivalent atoms, fractional coordinates:
1 Pa 0.0000 0.0000 0.0000  4 Ir 2.67
2 B 0.0000 0.0000 0.5000  4 Ir 2.67
3 Ir 0.2500 0.2500 0.2500  4 Pa 2.67, 4 B 2.67

two.
VASP calculation (GGA-PBE) on a relaxed structure of PaBIr.

Values from the calculation:
Calculated volume ... 17.0 Å³/atom

Cell: 5.8914 5.8914 5.8914 Å, 90.00 90.00 90.00°
Last column: nearest neighbours and their distance in Å.
Space group F-43m (No. 216)
Inequivalent atoms, fractional coordinates:
1 Pa 0.0000 0.0000 0.0000  4 B 2.55
2 B 0.2500 0.2500 0.7500  4 Pa 2.55, 4 Ir 2.55
3 Ir 0.0000 0.0000 0.5000  4 B 2.55

three.
VASP calculation (GGA-PBE) on a relaxed structure of PaBIr.

Values from the calculation:
Calculated volume ... 20.3 Å³/atom

Cell: 6.2446 6.2446 6.2446 Å, 90.00 90.00 90.00°
Last column: nearest neighbours and their distance in Å.
Space group F-43m (No. 216)
Inequivalent atoms, fractional coordinates:
1 Pa 0.0000 0.0000 0.0000  4 B 2.70, 4 Ir 2.70
2 B 0.2500 0.2500 0.7500  4 Pa 2.70
3 Ir 0.2500 0.2500 0.2500  4 Pa 2.70

Stability comparison, relative energies in kJ/mol of atoms: one 40.8; two 0.0; three 75.9

one.
VASP calculation (GGA-PBE) on a relaxed structure of PrB4Ir.

Values from the calculation:
Calculated volume ... 11.3 Å³/atom

Cell: 3.1372 5.3654 8.0495 Å, 90.00 90.00 90.00°
Last column: nearest neighbours and their distance in Å.
Space group Immm (No. 71)
Inequivalent atoms, fractional coordinates:
1 Pr 0.0000 0.0000 0.0000  12 B 2.69-2.70
2 B 0.0000 0.3326 0.2502  3 B 1.80
3 Ir 0.0000 0.0000 0.5000  12 B 2.69-2.71

two.
VASP calculation (GGA-PBE) on a relaxed structure of PrB4Ir.

Values from the calculation:
Calculated volume ... 11.0 Å³/atom

Cell: 3.2945 3.2945 6.9980 Å, 90.00 90.00 120.00°
Last column: nearest neighbours and their distance in Å.
Space group P6/mmm (No. 191)
Inequivalent atoms, fractional coordinates:
1 Pr 0.0000 0.0000 0.0000  12 B 2.82
2 B 0.3333 0.6667 0.2966  3 B 1.90
3 Ir 0.0000 0.0000 0.5000  12 B 2.38

Stability comparison, relative energies in kJ/mol of atoms: one 12.8; two 0.0

one.
VASP calculation (GGA-PBE) on a relaxed structure of B2IrPt2.

Values from the calculation:
Calculated volume ... 12.1 Å³/atom

Cell: 3.7625 3.7625 8.5796 Å, 90.00 90.00 90.00°
Last column: nearest neighbours and their distance in Å.
Space group I4/mmm (No. 139)
Inequivalent atoms, fractional coordinates:
1 B 0.0000 0.0000 0.1001  1 B 1.72
2 Ir 0.0000 0.0000 0.5000  8 B 2.80, 8 Pt 2.85
3 Pt 0.0000 0.5000 0.2500  4 B 2.28

two.
VASP calculation (GGA-PBE) on a relaxed structure of B2IrPt2.

Values from the calculation:
Calculated volume ... 12.3 Å³/atom

Cell: 3.0042 3.0042 13.6121 Å, 90.00 90.00 90.00°
Last column: nearest neighbours and their distance in Å.
Space group I4/mmm (No. 139)
Inequivalent atoms, fractional coordinates:
1 B 0.0000 0.5000 0.2500  4 B 2.12, 4 Pt 2.13
2 Ir 0.0000 0.0000 0.0000  8 Pt 2.84, 4 Ir 3.00
3 Pt 0.0000 0.0000 0.3611  4 B 2.13

Stability comparison, relative energies in kJ/mol of atoms: one 19.0; two 0.0

one.
VASP calculation (GGA-PBE) on a relaxed structure of RbBIr.

Values from the calculation:
Calculated volume ... 26.7 Å³/atom

Cell: 6.8398 6.8398 6.8398 Å, 90.00 90.00 90.00°
Last column: nearest neighbours and their distance in Å.
Space group F-43m (No. 216)
Inequivalent atoms, fractional coordinates:
1 Rb 0.0000 0.0000 0.0000  4 Ir 2.96, 4 B 2.96
2 B 0.2500 0.2500 0.7500  4 Rb 2.96
3 Ir 0.2500 0.2500 0.2500  4 Rb 2.96

two.
VASP calculation (GGA-PBE) on a relaxed structure of RbBIr.

Values from the calculation:
Calculated volume ... 19.9 Å³/atom

Cell: 6.2092 6.2092 6.2092 Å, 90.00 90.00 90.00°
Last column: nearest neighbours and their distance in Å.
Space group F-43m (No. 216)
Inequivalent atoms, fractional coordinates:
1 Rb 0.0000 0.0000 0.0000  4 B 2.69
2 B 0.2500 0.2500 0.7500  4 Rb 2.69, 4 Ir 2.69
3 Ir 0.0000 0.0000 0.5000  4 B 2.69

three.
VASP calculation (GGA-PBE) on a relaxed structure of RbBIr.

Values from the calculation:
Calculated volume ... 20.4 Å³/atom

Cell: 6.2575 6.2575 6.2575 Å, 90.00 90.00 90.00°
Last column: nearest neighbours and their distance in Å.
Space group F-43m (No. 216)
Inequivalent atoms, fractional coordinates:
1 Rb 0.0000 0.0000 0.0000  4 Ir 2.71
2 B 0.0000 0.0000 0.5000  4 Ir 2.71
3 Ir 0.2500 0.2500 0.7500  4 Rb 2.71, 4 B 2.71

Stability comparison, relative energies in kJ/mol of atoms: one 111.6; two 0.0; three 7.8

one.
VASP calculation (GGA-PBE) on a relaxed structure of ReB4Ir.

Values from the calculation:
Calculated volume ... 9.0 Å³/atom

Cell: 3.0011 5.1158 6.9960 Å, 90.00 90.00 90.00°
Last column: nearest neighbours and their distance in Å.
Space group Immm (No. 71)
Inequivalent atoms, fractional coordinates:
1 Re 0.0000 0.0000 0.0000  12 B 2.43-2.46
2 B 0.0000 0.3279 0.2579  3 B 1.70-1.76
3 Ir 0.0000 0.0000 0.5000  12 B 2.38-2.51

two.
VASP calculation (GGA-PBE) on a relaxed structure of ReB4Ir.

Values from the calculation:
Calculated volume ... 8.9 Å³/atom

Cell: 2.9908 2.9908 6.9007 Å, 90.00 90.00 120.00°
Last column: nearest neighbours and their distance in Å.
Space group P6/mmm (No. 191)
Inequivalent atoms, fractional coordinates:
1 Re 0.0000 0.0000 0.0000  12 B 2.42
2 B 0.3333 0.6667 0.2452  3 B 1.73
3 Ir 0.0000 0.0000 0.5000  12 B 2.46

Stability comparison, relative energies in kJ/mol of atoms: one 3.7; two 0.0

one.
VASP calculation (GGA-PBE) on a relaxed structure of SmBIr.

Values from the calculation:
Calculated volume ... 19.7 Å³/atom

Cell: 6.1852 6.1852 6.1852 Å, 90.00 90.00 90.00°
Last column: nearest neighbours and their distance in Å.
Space group F-43m (No. 216)
Inequivalent atoms, fractional coordinates:
1 Sm 0.0000 0.0000 0.0000  4 Ir 2.68
2 B 0.0000 0.0000 0.5000  4 Ir 2.68
3 Ir 0.2500 0.2500 0.2500  4 B 2.68, 4 Sm 2.68

two.
VASP calculation (GGA-PBE) on a relaxed structure of SmBIr.

Values from the calculation:
Calculated volume ... 17.5 Å³/atom

Cell: 5.9413 5.9413 5.9413 Å, 90.00 90.00 90.00°
Last column: nearest neighbours and their distance in Å.
Space group F-43m (No. 216)
Inequivalent atoms, fractional coordinates:
1 Sm 0.0000 0.0000 0.0000  4 B 2.57
2 B 0.2500 0.2500 0.7500  4 Ir 2.57, 4 Sm 2.57
3 Ir 0.0000 0.0000 0.5000  4 B 2.57

Stability comparison, relative energies in kJ/mol of atoms: one 38.0; two 0.0

one.
VASP calculation (GGA-PBE) on a relaxed structure of SrB4Ir.

Values from the calculation:
Calculated volume ... 11.0 Å³/atom

Cell: 3.2146 3.2146 7.4070 Å, 90.00 90.00 120.00°
Last column: nearest neighbours and their distance in Å.
Space group P6/mmm (No. 191)
Inequivalent atoms, fractional coordinates:
1 Sr 0.0000 0.0000 0.0000  12 B 2.88, 6 Sr 3.21
2 B 0.3333 0.6667 0.2978  3 B 1.86
3 Ir 0.0000 0.0000 0.5000  12 B 2.39

two.
VASP calculation (GGA-PBE) on a relaxed structure of SrB4Ir.

Values from the calculation:
Calculated volume ... 11.1 Å³/atom

Cell: 2.7786 5.7190 8.3786 Å, 90.00 90.00 90.00°
Last column: nearest neighbours and their distance in Å.
Space group Immm (No. 71)
Inequivalent atoms, fractional coordinates:
1 Sr 0.0000 0.0000 0.0000  12 B 2.76-2.82, 2 Sr 2.78
2 B 0.0000 0.3519 0.2257  3 B 1.69-1.86
3 Ir 0.0000 0.0000 0.5000  8 B 2.50, 2 Ir 2.78

Stability comparison, relative energies in kJ/mol of atoms: one 0.0; two 11.3

one.
VASP calculation (GGA-PBE) on a relaxed structure of SrBIr.

Values from the calculation:
Calculated volume ... 18.7 Å³/atom

Cell: 6.0722 6.0722 6.0722 Å, 90.00 90.00 90.00°
Last column: nearest neighbours and their distance in Å.
Space group F-43m (No. 216)
Inequivalent atoms, fractional coordinates:
1 Sr 0.0000 0.0000 0.0000  4 B 2.63
2 B 0.2500 0.2500 0.7500  4 Ir 2.63, 4 Sr 2.63
3 Ir 0.0000 0.0000 0.5000  4 B 2.63

two.
VASP calculation (GGA-PBE) on a relaxed structure of SrBIr.

Values from the calculation:
Calculated volume ... 20.5 Å³/atom

Cell: 6.2608 6.2608 6.2608 Å, 90.00 90.00 90.00°
Last column: nearest neighbours and their distance in Å.
Space group F-43m (No. 216)
Inequivalent atoms, fractional coordinates:
1 Sr 0.0000 0.0000 0.0000  4 Ir 2.71
2 B 0.0000 0.0000 0.5000  4 Ir 2.71
3 Ir 0.2500 0.2500 0.7500  4 B 2.71, 4 Sr 2.71

three.
VASP calculation (GGA-PBE) on a relaxed structure of SrBIr.

Values from the calculation:
Calculated volume ... 23.4 Å³/atom

Cell: 6.5469 6.5469 6.5469 Å, 90.00 90.00 90.00°
Last column: nearest neighbours and their distance in Å.
Space group F-43m (No. 216)
Inequivalent atoms, fractional coordinates:
1 Sr 0.0000 0.0000 0.0000  4 Ir 2.83, 4 B 2.83
2 B 0.2500 0.2500 0.7500  4 Sr 2.83
3 Ir 0.2500 0.2500 0.2500  4 Sr 2.83

Stability comparison, relative energies in kJ/mol of atoms: one 0.0; two 33.7; three 112.3